# 1
Density functional theory data (GGA-PBE) for an optimized crystal structure of CaMnSi3.

Lattice parameters (Å, degrees): 4.4998 4.4998 4.4998 90.00 90.00 90.00
Last column: nearest neighbours and their distance in Å.
Element x y z (fractional)
Ca 0.0000 0.0000 0.0000  12 Si 3.18
Mn 0.5000 0.5000 0.5000  6 Si 2.25
Si 0.0000 0.5000 0.5000  2 Mn 2.25
Si 0.5000 0.0000 0.5000  2 Mn 2.25
Si 0.5000 0.5000 0.0000  2 Mn 2.25

Energy, eV per atom: -5.5059
Magnetization, μB per formula unit: 1.74
Energy relative to the elements, uncorrected, meV/atom: -18

=====

# 2
Density functional theory data (GGA-PBE) for an optimized crystal structure of ZrTa2Ru2.

Lattice parameters (Å, degrees): 7.7053 7.7053 2.9606 90.00 90.00 90.00
Last column: nearest neighbours and their distance in Å.
Element x y z (fractional)
Zr 0.0000 0.0000 0.0000  4 Ta 2.94, 2 Zr 2.96, 8 Ru 3.29
Zr 0.5000 0.5000 0.0000  4 Ta 2.94, 2 Zr 2.96, 8 Ru 3.29
Ta 0.1475 0.3525 0.0000  6 Ru 2.67-2.72, 2 Zr 2.94, 2 Ta 2.96
Ta 0.3525 0.8525 0.0000  6 Ru 2.67-2.72, 2 Zr 2.94, 2 Ta 2.96
Ta 0.6475 0.1475 0.0000  6 Ru 2.67-2.72, 2 Zr 2.94, 2 Ta 2.96
Ta 0.8525 0.6475 0.0000  6 Ru 2.67-2.72, 2 Zr 2.94, 2 Ta 2.96
Ru 0.1487 0.6487 0.5000  6 Ta 2.67-2.72, 2 Ru 2.96
Ru 0.3513 0.1487 0.5000  6 Ta 2.67-2.72, 2 Ru 2.96
Ru 0.6487 0.8513 0.5000  6 Ta 2.67-2.72, 2 Ru 2.96
Ru 0.8513 0.3513 0.5000  6 Ta 2.67-2.72, 2 Ru 2.96

ΔE to the lowest computed polymorph, eV per atom: 0.200
Energy, eV per atom: -10.3273
Magnetization, μB per formula unit: 0.00
Energy of formation from the pure elements, eV per atom: -0.17

=====

# 3
Density functional theory data (GGA-PBE) for an optimized crystal structure of V3CrPb.

Lattice parameters (Å, degrees): 4.4126 4.4126 4.4126 90.00 90.00 90.00
Last column: nearest neighbours and their distance in Å.
Element x y z (fractional)
V 0.0000 0.0000 0.5000  2 Cr 2.21
V 0.0000 0.5000 0.0000  2 Cr 2.21
V 0.5000 0.0000 0.0000  2 Cr 2.21
Cr 0.0000 0.0000 0.0000  6 V 2.21
Pb 0.5000 0.5000 0.5000  12 V 3.12

ΔE to the lowest computed polymorph, eV per atom: 0.000
Energy, eV per atom: -7.3648
Magnetization, μB per formula unit: 0.00
Energy of formation from the pure elements, eV per atom: 0.77

=====

# 4
Density functional theory data (GGA-PBE) for an optimized crystal structure of Tc3SnB.

Lattice parameters (Å, degrees): 4.8792 4.8792 4.8792 90.00 90.00 90.00
Last column: nearest neighbours and their distance in Å.
Element x y z (fractional)
Tc 0.0000 0.0000 0.5000  2 Sn 2.44
Tc 0.0000 0.5000 0.0000  2 Sn 2.44
Tc 0.5000 0.0000 0.0000  2 Sn 2.44
Sn 0.0000 0.0000 0.0000  6 Tc 2.44
B 0.5000 0.5000 0.5000  12 Tc 3.45

ΔE to the lowest computed polymorph, eV per atom: 2.892
Energy, eV per atom: -5.3510
Magnetization, μB per formula unit: 4.39
Energy of formation from the pure elements, eV per atom: 3.00

=====

# 5
Density functional theory data (GGA-PBE) for an optimized crystal structure of AgAu2Cl.

Lattice parameters (Å, degrees): 3.1095 3.1095 8.5753 90.00 90.00 113.09
Last column: nearest neighbours and their distance in Å.
Element x y z (fractional)
Ag 0.0000 0.0000 0.0000  2 Cl 2.65, 2 Au 2.78
Au 0.0000 0.0000 0.5087  2 Au 2.77, 2 Cl 2.78
Au 0.5000 0.5000 0.2554  2 Au 2.77, 2 Ag 2.78
Cl 0.5000 0.5000 0.7646  2 Ag 2.65, 2 Au 2.78

ΔE to the lowest computed polymorph, eV per atom: 0.092
Energy, eV per atom: -2.7574
Magnetization, μB per formula unit: 0.00
Energy relative to the elements, uncorrected, meV/atom: 56

=====

Question: Which value of magnetization does entry 2 give?
Answer: 0.00 μB per formula unit

=====

What did the second record say?
Density functional theory data (GGA-PBE) for an optimized crystal structure of ZrTa2Ru2.

Lattice parameters (Å, degrees): 7.7053 7.7053 2.9606 90.00 90.00 90.00
Last column: nearest neighbours and their distance in Å.
Element x y z (fractional)
Zr 0.0000 0.0000 0.0000  4 Ta 2.94, 2 Zr 2.96, 8 Ru 3.29
Zr 0.5000 0.5000 0.0000  4 Ta 2.94, 2 Zr 2.96, 8 Ru 3.29
Ta 0.1475 0.3525 0.0000  6 Ru 2.67-2.72, 2 Zr 2.94, 2 Ta 2.96
Ta 0.3525 0.8525 0.0000  6 Ru 2.67-2.72, 2 Zr 2.94, 2 Ta 2.96
Ta 0.6475 0.1475 0.0000  6 Ru 2.67-2.72, 2 Zr 2.94, 2 Ta 2.96
Ta 0.8525 0.6475 0.0000  6 Ru 2.67-2.72, 2 Zr 2.94, 2 Ta 2.96
Ru 0.1487 0.6487 0.5000  6 Ta 2.67-2.72, 2 Ru 2.96
Ru 0.3513 0.1487 0.5000  6 Ta 2.67-2.72, 2 Ru 2.96
Ru 0.6487 0.8513 0.5000  6 Ta 2.67-2.72, 2 Ru 2.96
Ru 0.8513 0.3513 0.5000  6 Ta 2.67-2.72, 2 Ru 2.96

ΔE to the lowest computed polymorph, eV per atom: 0.200
Energy, eV per atom: -10.3273
Magnetization, μB per formula unit: 0.00
Energy of formation from the pure elements, eV per atom: -0.17